No. 1
Computed, not measured: InRe2Os after structural relaxation at the PBE level of DFT.

Results
Spin magnetization, μB per formula unit: 0.0
SG: I4/mmm (139)
Energy of formation from the pure elements, eV per atom: 0.56
Calculated volume, Å³/atom: 15.92
E_tot, eV/atom: -9.1515

abc: 5.0860 5.0860 5.0860
angles: 135.51 135.51 64.73
Fractional coordinates of all 4 atoms:
In (0.0000, 0.0000, 0.0000)
Re (0.2500, 0.7500, 0.5000)
Re (0.7500, 0.2500, 0.5000)
Os (0.5000, 0.5000, 0.0000)


No. 2
Computed, not measured: Cu2As2Ru after structural relaxation at the PBE level of DFT.

Results
Spin magnetization, μB per formula unit: 0.0
SG: P4/mbm (127)
Energy relative to the lowest polymorph listed for this composition, meV/atom: 0.0
Energy of formation from the pure elements, eV per atom: 0.12
Calculated volume, Å³/atom: 15.15
E_tot, eV/atom: -5.2302

abc: 6.3285 6.3285 3.7827
angles: 90.00 90.00 90.00
Fractional coordinates of all 10 atoms:
Cu (0.1591, 0.3409, 0.0000)
Cu (0.3409, 0.8409, 0.0000)
Cu (0.6591, 0.1591, 0.0000)
Cu (0.8409, 0.6591, 0.0000)
As (0.1413, 0.6413, 0.5000)
As (0.3587, 0.1413, 0.5000)
As (0.6413, 0.8587, 0.5000)
As (0.8587, 0.3587, 0.5000)
Ru (0.0000, 0.0000, 0.5000)
Ru (0.5000, 0.5000, 0.5000)


No. 3
Computed, not measured: PmUTc3 after structural relaxation at the PBE level of DFT.

Results
Spin magnetization, μB per formula unit: 0.0
SG: C2/m (12)
Energy of formation from the pure elements, eV per atom: 0.09
Calculated volume, Å³/atom: 19.77
E_tot, eV/atom: -9.3391

abc: 9.3093 9.3093 5.4014
angles: 106.38 106.38 26.19
Fractional coordinates of all 10 atoms:
Pm (0.0677, 0.0677, 0.3659)
Pm (0.9323, 0.9323, 0.6341)
U (0.2933, 0.2933, 0.7429)
U (0.7067, 0.7067, 0.2571)
Tc (0.1416, 0.1416, 0.9525)
Tc (0.3057, 0.3057, 0.3130)
Tc (0.4504, 0.4504, 0.1207)
Tc (0.5496, 0.5496, 0.8793)
Tc (0.6943, 0.6943, 0.6870)
Tc (0.8584, 0.8584, 0.0475)


No. 4
Computed, not measured: NaSr2PbO5 after structural relaxation at the PBE level of DFT.

Results
Spin magnetization, μB per formula unit: 1.0
SG: Cmc2_1 (36)
Calculated volume, Å³/atom: 15.22
E_tot, eV/atom: -5.3950

abc: 7.4140 7.4140 10.7850
angles: 90.00 90.00 152.48
Fractional coordinates of all 18 atoms:
Na (0.0238, 0.9762, 0.5000)
Na (0.9762, 0.0238, 0.0000)
Sr (0.3639, 0.6361, 0.3300)
Sr (0.3960, 0.6040, 0.7108)
Sr (0.6040, 0.3960, 0.2108)
Sr (0.6361, 0.3639, 0.8300)
Pb (0.2907, 0.7093, 0.0452)
Pb (0.7093, 0.2907, 0.5452)
O (0.0021, 0.9979, 0.7947)
O (0.1415, 0.8585, 0.0214)
O (0.1854, 0.8146, 0.4108)
O (0.2242, 0.7758, 0.6859)
O (0.4345, 0.5655, 0.1087)
O (0.5655, 0.4345, 0.6087)
O (0.7758, 0.2242, 0.1859)
O (0.8146, 0.1854, 0.9108)
O (0.8585, 0.1415, 0.5214)
O (0.9979, 0.0021, 0.2947)


No. 5
Computed, not measured: AsPb2Au after structural relaxation at the PBE level of DFT.

Results
Spin magnetization, μB per formula unit: 0.0
SG: I-42d (122)
Energy of formation from the pure elements, eV per atom: 0.10
Calculated volume, Å³/atom: 34.66
E_tot, eV/atom: -3.7387

abc: 7.7905 7.7905 7.7905
angles: 129.11 129.11 74.83
Fractional coordinates of all 8 atoms:
As (0.0000, 0.0000, 0.0000)
As (0.7500, 0.2500, 0.5000)
Pb (0.1268, 0.6250, 0.0018)
Pb (0.3750, 0.3768, 0.5018)
Pb (0.6232, 0.1250, 0.9982)
Pb (0.8750, 0.8732, 0.4982)
Au (0.2500, 0.7500, 0.5000)
Au (0.5000, 0.5000, 0.0000)


No. 6
Computed, not measured: VMo2Pd after structural relaxation at the PBE level of DFT.

Results
Spin magnetization, μB per formula unit: 0.7
SG: I-42d (122)
Energy relative to the lowest polymorph listed for this composition, meV/atom: 494.6
Energy of formation from the pure elements, eV per atom: 0.55
Calculated volume, Å³/atom: 16.43
E_tot, eV/atom: -8.4397

abc: 9.8799 9.8799 9.8799
angles: 158.33 158.33 30.83
Fractional coordinates of all 8 atoms:
V (0.0000, 0.0000, 0.0000)
V (0.7500, 0.2500, 0.5000)
Mo (0.1047, 0.6250, 0.9797)
Mo (0.3750, 0.3547, 0.4797)
Mo (0.6453, 0.1250, 0.0203)
Mo (0.8750, 0.8953, 0.5203)
Pd (0.2500, 0.7500, 0.5000)
Pd (0.5000, 0.5000, 0.0000)


No. 7
Computed, not measured: SrAcGa2Ir2 after structural relaxation at the PBE level of DFT.

Results
Spin magnetization, μB per formula unit: 0.0
SG: P-3m1 (164)
Energy of formation from the pure elements, eV per atom: -0.61
Calculated volume, Å³/atom: 24.23
E_tot, eV/atom: -5.5341

abc: 4.3366 4.3366 8.9278
angles: 90.00 90.00 120.00
Fractional coordinates of all 6 atoms:
Sr (0.0000, 0.0000, 0.0000)
Ac (0.0000, 0.0000, 0.5000)
Ga (0.3333, 0.6667, 0.7545)
Ga (0.6667, 0.3333, 0.2455)
Ir (0.3333, 0.6667, 0.2678)
Ir (0.6667, 0.3333, 0.7322)


No. 8
Computed, not measured: Ac2TmSi3Pd4 after structural relaxation at the PBE level of DFT.

Results
Spin magnetization, μB per formula unit: 0.0
SG: P-4m2 (115)
Calculated volume, Å³/atom: 20.97
E_tot, eV/atom: -5.8319

abc: 4.3892 4.3892 10.8857
angles: 90.00 90.00 90.00
Fractional coordinates of all 10 atoms:
Ac (0.0000, 0.5000, 0.2315)
Ac (0.5000, 0.0000, 0.7685)
Tm (0.0000, 0.0000, 0.5000)
Si (0.0000, 0.5000, 0.8843)
Si (0.5000, 0.0000, 0.1157)
Si (0.5000, 0.5000, 0.5000)
Pd (0.0000, 0.0000, 0.0000)
Pd (0.0000, 0.5000, 0.6544)
Pd (0.5000, 0.0000, 0.3456)
Pd (0.5000, 0.5000, 0.0000)


No. 9
Computed, not measured: AlTcIr2Os after structural relaxation at the PBE level of DFT.

Results
Spin magnetization, μB per formula unit: 0.0
SG: P4/mmm (123)
Energy relative to the lowest polymorph listed for this composition, meV/atom: 155.3
Energy of formation from the pure elements, eV per atom: 1.75
Calculated volume, Å³/atom: 20.49
E_tot, eV/atom: -6.8657

abc: 4.6979 4.6979 4.6408
angles: 90.00 90.00 90.00
Fractional coordinates of all 5 atoms:
Al (0.0000, 0.0000, 0.0000)
Tc (0.5000, 0.5000, 0.5000)
Ir (0.0000, 0.5000, 0.5000)
Ir (0.5000, 0.0000, 0.5000)
Os (0.5000, 0.5000, 0.0000)


No. 10
Computed, not measured: Dy3HoTm3S8 after structural relaxation at the PBE level of DFT.

Results
Spin magnetization, μB per formula unit: 0.0
SG: R-3m (166)
Calculated volume, Å³/atom: 21.81
E_tot, eV/atom: -6.3549

abc: 7.7431 7.7431 7.7431
angles: 59.86 59.86 59.86
Fractional coordinates of all 15 atoms:
Dy (0.0000, 0.5000, 0.5000)
Dy (0.5000, 0.0000, 0.5000)
Dy (0.5000, 0.5000, 0.0000)
Ho (0.5000, 0.5000, 0.5000)
Tm (0.0000, 0.0000, 0.5000)
Tm (0.0000, 0.5000, 0.0000)
Tm (0.5000, 0.0000, 0.0000)
S (0.2447, 0.7514, 0.7514)
S (0.2481, 0.2481, 0.2481)
S (0.2486, 0.2486, 0.7553)
S (0.2486, 0.7553, 0.2486)
S (0.7514, 0.2447, 0.7514)
S (0.7514, 0.7514, 0.2447)
S (0.7519, 0.7519, 0.7519)
S (0.7553, 0.2486, 0.2486)


No. 11
Computed, not measured: Pm2Sm5In5 after structural relaxation at the PBE level of DFT.

Results
Spin magnetization, μB per formula unit: 0.0
SG: C2/m (12)
Energy of formation from the pure elements, eV per atom: -0.32
Calculated volume, Å³/atom: 29.71
E_tot, eV/atom: -4.2146

abc: 6.4397 6.4397 12.1976
angles: 107.24 107.24 48.17
Fractional coordinates of all 12 atoms:
Pm (0.0697, 0.0697, 0.2570)
Pm (0.9303, 0.9303, 0.7430)
Sm (0.3463, 0.3463, 0.4964)
Sm (0.3678, 0.3678, 0.2232)
Sm (0.5000, 0.5000, 0.0000)
Sm (0.6322, 0.6322, 0.7768)
Sm (0.6537, 0.6537, 0.5036)
In (0.0000, 0.0000, 0.5000)
In (0.1734, 0.1734, 0.9637)
In (0.2624, 0.2624, 0.7254)
In (0.7376, 0.7376, 0.2746)
In (0.8266, 0.8266, 0.0363)


No. 12
Computed, not measured: ErCuS2 after structural relaxation at the PBE level of DFT.

Results
Spin magnetization, μB per formula unit: 0.0
SG: R-3m (166)
Calculated volume, Å³/atom: 25.15
E_tot, eV/atom: -5.5442

abc: 7.4381 7.4381 7.4381
angles: 31.65 31.65 31.65
Fractional coordinates of all 4 atoms:
Er (0.0000, 0.0000, 0.0000)
Cu (0.5000, 0.5000, 0.5000)
S (0.3993, 0.3993, 0.3993)
S (0.6007, 0.6007, 0.6007)